Record 1
# LuCdAg

LuCdAg after structural relaxation (GGA-PBE, OQMD via LeMat-Bulk).

Calculated values
* formation energy from the elements: -0.12 eV per atom
* M_tot: 0.00 μB per cell

a b c (Å): 4.7363 4.7363 4.7363
angles (deg): 60.00 60.00 60.00
Positions (direct):
Ag1 0.0000 0.0000 0.0000
Cd1 0.2500 0.2500 0.2500
Lu1 0.7500 0.7500 0.7500


Record 2
# Dy2FeCu

Dy2FeCu after structural relaxation (GGA-PBE, OQMD via LeMat-Bulk).

Calculated values
* formation energy from the elements: -0.07 eV per atom
* M_tot: 2.28 μB per cell

a b c (Å): 4.1704 5.5246 7.2459
angles (deg): 90.00 90.00 90.00
Positions (direct):
Cu1 0.0000 0.3657 0.0332
Cu2 0.0000 0.6343 0.5332
Dy1 0.0000 0.8809 0.1781
Dy2 0.5000 0.3744 0.3238
Dy3 0.0000 0.1191 0.6781
Dy4 0.5000 0.6256 0.8238
Fe1 0.5000 0.8688 0.4649
Fe2 0.5000 0.1312 0.9649


Record 3
# Y2Ag2GePb

Y2Ag2GePb after structural relaxation (GGA-PBE, OQMD via LeMat-Bulk).

Calculated values
* raw total energy: -4.892 eV per atom
* M_tot: 0.00 μB per cell

a b c (Å): 11.5910 4.7420 11.6035
angles (deg): 90.00 109.51 90.00
Positions (direct):
Ag1 0.3738 0.5000 0.1252
Ag2 0.7614 0.0000 0.2565
Ag3 0.1157 0.5000 0.3652
Ag4 0.5077 0.0000 0.5113
Ag5 0.8697 0.5000 0.6269
Ag6 0.2564 0.0000 0.7479
Ag7 0.6287 0.5000 0.8708
Ag8 0.9904 0.0000 0.9971
Ge1 0.9987 0.0000 0.2476
Ge2 0.7510 0.0000 0.5024
Ge3 0.5022 0.0000 0.7510
Ge4 0.8724 0.5000 0.8734
Pb1 0.6270 0.5000 0.1268
Pb2 0.3754 0.5000 0.3762
Pb3 0.1248 0.5000 0.6239
Pb4 0.2487 0.0000 0.9987
Y1 0.1136 0.5000 0.1186
Y2 0.5086 0.0000 0.2590
Y3 0.8746 0.5000 0.3802
Y4 0.2478 0.0000 0.4938
Y5 0.6282 0.5000 0.6290
Y6 0.9936 0.0000 0.7492
Y7 0.3817 0.5000 0.8719
Y8 0.7479 0.0000 0.9974


Record 4
# Li2Hf2AlInNi2

Li2Hf2AlInNi2 after structural relaxation (GGA-PBE, OQMD via LeMat-Bulk).

Calculated values
* raw total energy: -5.581 eV per atom
* M_tot: 0.00 μB per cell

a b c (Å): 4.3818 4.3818 6.2165
angles (deg): 90.00 90.00 90.00
Positions (direct):
Al1 0.0000 0.0000 0.0000
Hf1 0.5000 0.5000 0.0000
Hf2 0.0000 0.0000 0.5000
In1 0.5000 0.5000 0.5000
Li1 0.5000 0.0000 0.2418
Li2 0.0000 0.5000 0.7582
Ni1 0.0000 0.5000 0.2365
Ni2 0.5000 0.0000 0.7635


Record 5
# YAs2Ir2

YAs2Ir2 after structural relaxation (GGA-PBE, OQMD via LeMat-Bulk).

Calculated values
* raw total energy: -7.262 eV per atom
* M_tot: 0.00 μB per cell

a b c (Å): 6.3003 6.3003 6.3003
angles (deg): 142.52 142.52 54.05
Positions (direct):
As1 0.3789 0.3789 0.0000
As2 0.6211 0.6211 0.0000
Ir1 0.7500 0.2500 0.5000
Ir2 0.2500 0.7500 0.5000
Y1 0.0000 0.0000 0.0000


Record 6
# Gd4ZrP2

Gd4ZrP2 after structural relaxation (GGA-PBE, OQMD via LeMat-Bulk).

Calculated values
* raw total energy: -5.942 eV per atom
* M_tot: 0.46 μB per cell

a b c (Å): 5.8018 5.8018 5.2343
angles (deg): 90.56 90.56 97.32
Positions (direct):
Gd1 0.8259 0.4584 0.2483
Gd2 0.4584 0.8259 0.2483
Gd3 0.5416 0.1741 0.7517
Gd4 0.1741 0.5416 0.7517
P1 0.3082 0.3082 0.2431
P2 0.6918 0.6918 0.7569
Zr1 0.0000 0.0000 0.0000


Record 7
# LaAl5NiPt

LaAl5NiPt after structural relaxation (GGA-PBE, OQMD via LeMat-Bulk).

Calculated values
* raw total energy: -5.160 eV per atom
* M_tot: 0.00 μB per cell

a b c (Å): 6.4261 6.4261 6.4261
angles (deg): 142.93 111.88 80.18
Positions (direct):
Al1 0.5292 0.3453 0.1839
Al2 0.8525 0.6558 0.1967
Al3 0.4930 0.9930 0.5000
Al4 0.4590 0.6558 0.8033
Al5 0.1613 0.3453 0.8161
La1 0.0056 0.0056 0.0000
Ni1 0.2608 0.7608 0.5000
Pt1 0.7385 0.2385 0.5000


Record 8
# Fe2GePt

Fe2GePt after structural relaxation (GGA-PBE, OQMD via LeMat-Bulk).

Calculated values
* raw total energy: -6.946 eV per atom
* M_tot: 5.38 μB per cell

a b c (Å): 4.2495 4.2495 4.2495
angles (deg): 60.00 60.00 60.00
Positions (direct):
Fe1 0.0000 0.0000 0.0000
Fe2 0.7500 0.7500 0.7500
Ge1 0.5000 0.5000 0.5000
Pt1 0.2500 0.2500 0.2500


Record 9
# YPdPb

YPdPb after structural relaxation (GGA-PBE, OQMD via LeMat-Bulk).

Calculated values
* raw total energy: -5.843 eV per atom
* M_tot: 0.01 μB per cell

a b c (Å): 7.6602 7.6602 4.0381
angles (deg): 90.00 90.00 120.00
Positions (direct):
Pb1 0.2625 0.0000 0.0000
Pb2 0.0000 0.2625 0.0000
Pb3 0.7375 0.7375 0.0000
Pd1 0.6667 0.3333 0.0000
Pd2 0.3333 0.6667 0.0000
Pd3 0.0000 0.0000 0.5000
Y1 0.5943 0.0000 0.5000
Y2 0.4057 0.4057 0.5000
Y3 0.0000 0.5943 0.5000


Record 10
# K5As2Au2

K5As2Au2 after structural relaxation (GGA-PBE, OQMD via LeMat-Bulk).

Calculated values
* energy relative to the lowest polymorph listed for this composition: 0 kJ/mol of formula units

a b c (Å): 6.0258 6.0258 11.8001
angles (deg): 111.39 111.39 53.66
Positions (direct):
As1 0.4364 0.4364 0.1646
As2 0.5636 0.5636 0.8354
Au1 0.4481 0.4481 0.3767
Au2 0.5519 0.5519 0.6233
K1 0.0000 0.0000 0.0000
K2 0.7486 0.7486 0.1613
K3 0.1268 0.1268 0.3766
K4 0.8732 0.8732 0.6234
K5 0.2514 0.2514 0.8387


Record 11
# GdTlAg

GdTlAg after structural relaxation (GGA-PBE, OQMD via LeMat-Bulk).

Calculated values
* M_tot: 0.01 μB per cell
* energy relative to the lowest polymorph listed for this composition: 0 kJ/mol of formula units

a b c (Å): 7.9693 7.9693 3.9588
angles (deg): 90.00 90.00 120.00
Positions (direct):
Ag1 0.6667 0.3333 0.0000
Ag2 0.3333 0.6667 0.0000
Ag3 0.0000 0.0000 0.5000
Gd1 0.4019 0.0000 0.5000
Gd2 0.0000 0.4019 0.5000
Gd3 0.5981 0.5981 0.5000
Tl1 0.7315 0.0000 0.0000
Tl2 0.2685 0.2685 0.0000
Tl3 0.0000 0.7315 0.0000


Record 12
# TbDyS2F2

TbDyS2F2 after structural relaxation (GGA-PBE, OQMD via LeMat-Bulk).

Calculated values
* raw total energy: -6.547 eV per atom
* M_tot: 0.00 μB per cell

a b c (Å): 3.7575 3.7575 6.7983
angles (deg): 90.00 90.00 90.00
Positions (direct):
Dy1 0.0000 0.0000 0.2286
F1 0.5000 0.0000 0.0003
F2 0.0000 0.5000 0.0003
S1 0.5000 0.5000 0.3565
S2 0.0000 0.0000 0.6427
Tb1 0.5000 0.5000 0.7716


Number 3 is which compound?
Y2Ag2GePb


What is the formula in the seventh record?
LaAl5NiPt


What did the twelfth record say?
# TbDyS2F2

TbDyS2F2 after structural relaxation (GGA-PBE, OQMD via LeMat-Bulk).

Calculated values
* raw total energy: -6.547 eV per atom
* M_tot: 0.00 μB per cell

a b c (Å): 3.7575 3.7575 6.7983
angles (deg): 90.00 90.00 90.00
Positions (direct):
Dy1 0.0000 0.0000 0.2286
F1 0.5000 0.0000 0.0003
F2 0.0000 0.5000 0.0003
S1 0.5000 0.5000 0.3565
S2 0.0000 0.0000 0.6427
Tb1 0.5000 0.5000 0.7716